1.
# CaDy2Ag4 (PBE, relaxed)
# ΔE_f ... -0.09 eV/atom
# Volume ... 26.37 Å³/atom
data_CaDy2Ag4
_chemical_formula_sum 'Ca2 Dy4 Ag8'
_cell_length_a 7.500
_cell_length_b 7.500
_cell_length_c 6.563
_cell_angle_alpha 90.00
_cell_angle_beta 90.00
_cell_angle_gamma 90.00
_space_group_name_H-M_alt 'I 4/m m m'
_space_group_IT_number 139
_space_group_name_Hall '-I 4 2'
loop_
_atom_site_label
_atom_site_fract_x
_atom_site_fract_y
_atom_site_fract_z
Ca1 0.000 0.000 0.000
Dy1 0.000 0.500 0.000
Ag1 0.250 0.250 0.250


2.
# InFe2Hg (PBE, relaxed)
# ΔE_f ... 0.49 eV/atom
# Volume ... 17.14 Å³/atom
data_InFe2Hg
_chemical_formula_sum 'In3 Fe6 Hg3'
_cell_length_a 2.9788
_cell_length_b 2.9788
_cell_length_c 26.7611
_cell_angle_alpha 90.00
_cell_angle_beta 90.00
_cell_angle_gamma 120.00
_space_group_name_H-M_alt 'R -3 m'
_space_group_IT_number 166
_space_group_name_Hall '-R 3 2"'
loop_
_atom_site_label
_atom_site_fract_x
_atom_site_fract_y
_atom_site_fract_z
In1 0.0000 0.0000 0.0000
Fe1 0.0000 0.0000 0.2505
Hg1 0.0000 0.0000 0.5000


3.
# Na4Hf3CrS8 (PBE, relaxed)
# Volume ... 19.64 Å³/atom
# Uncorrected formation energy ... -1.331 eV/atom
data_Na4Hf3CrS8
_chemical_formula_sum 'Na12 Hf9 Cr3 S24'
_cell_length_a 7.3471
_cell_length_b 7.3471
_cell_length_c 20.1663
_cell_angle_alpha 90.00
_cell_angle_beta 90.00
_cell_angle_gamma 120.00
_space_group_name_H-M_alt 'R -3 m'
_space_group_IT_number 166
_space_group_name_Hall '-R 3 2"'
loop_
_atom_site_label
_atom_site_fract_x
_atom_site_fract_y
_atom_site_fract_z
Na1 0.0000 0.0000 0.0000
Na2 0.0000 0.5000 0.0000
Hf1 0.0000 0.5000 0.5000
Cr1 0.0000 0.0000 0.5000
S1 0.0000 0.0000 0.2405
S2 0.0027 0.5014 0.2386


4.
# Sr3GaF (PBE, relaxed)
# Volume ... 29.05 Å³/atom
# Uncorrected formation energy ... -1.153 eV/atom
data_Sr3GaF
_chemical_formula_sum 'Sr3 Ga1 F1'
_cell_length_a 5.257
_cell_length_b 5.257
_cell_length_c 5.257
_cell_angle_alpha 90.00
_cell_angle_beta 90.00
_cell_angle_gamma 90.00
_space_group_name_H-M_alt 'P m -3 m'
_space_group_IT_number 221
_space_group_name_Hall '-P 4 2 3'
loop_
_atom_site_label
_atom_site_fract_x
_atom_site_fract_y
_atom_site_fract_z
Sr1 0.000 0.000 0.500
Ga1 0.500 0.500 0.500
F1 0.000 0.000 0.000


5.
# HPtN2O (PBE, relaxed)
# Energy ... -21.8 eV/f.u.
# Volume ... 12.18 Å³/atom
data_HPtN2O
_chemical_formula_sum 'H1 Pt1 N2 O1'
_cell_length_a 3.776
_cell_length_b 3.776
_cell_length_c 4.272
_cell_angle_alpha 90.00
_cell_angle_beta 90.00
_cell_angle_gamma 90.00
_space_group_name_H-M_alt 'P 4/m m m'
_space_group_IT_number 123
_space_group_name_Hall '-P 4 2'
loop_
_atom_site_label
_atom_site_fract_x
_atom_site_fract_y
_atom_site_fract_z
H1 0.000 0.000 0.000
Pt1 0.500 0.500 0.500
N1 0.000 0.500 0.500
O1 0.500 0.500 0.000


6.
# BaH6Br2N2 (PBE, relaxed)
# Energy ... -51.7 eV/f.u.
# Volume ... 15.31 Å³/atom
data_BaH6Br2N2
_chemical_formula_sum 'Ba2 H12 Br4 N4'
_cell_length_a 9.718
_cell_length_b 5.610
_cell_length_c 6.985
_cell_angle_alpha 90.00
_cell_angle_beta 117.84
_cell_angle_gamma 90.00
_space_group_name_H-M_alt 'C 1 2/m 1'
_space_group_IT_number 12
loop_
_space_group_symop_operation_xyz
'x,y,z'
'-x,-y,-z'
'-x,y,-z'
'x,-y,z'
'x+1/2,y+1/2,z'
'-x+1/2,-y+1/2,-z'
'-x+1/2,y+1/2,-z'
'x+1/2,-y+1/2,z'
loop_
_atom_site_label
_atom_site_fract_x
_atom_site_fract_y
_atom_site_fract_z
Ba1 0.000 0.000 0.000
H1 0.134 0.146 0.548
H2 0.219 0.500 0.450
Br1 0.107 0.500 0.823
N1 0.161 0.000 0.483


7.
# Sc6Os2O (PBE, relaxed)
# Volume ... 18.85 Å³/atom
# Uncorrected formation energy ... -0.916 eV/atom
data_Sc6Os2O
_chemical_formula_sum 'Sc12 Os4 O2'
_cell_length_a 6.053
_cell_length_b 6.634
_cell_length_c 10.303
_cell_angle_alpha 90.00
_cell_angle_beta 124.92
_cell_angle_gamma 90.00
_space_group_name_H-M_alt 'P 1 21/c 1'
_space_group_IT_number 14
loop_
_space_group_symop_operation_xyz
'x,y,z'
'-x,-y,-z'
'-x,y+1/2,-z+1/2'
'x,-y+1/2,z+1/2'
loop_
_atom_site_label
_atom_site_fract_x
_atom_site_fract_y
_atom_site_fract_z
Sc1 0.137 0.175 0.448
Sc2 0.270 0.691 0.446
Sc3 0.348 0.037 0.250
Os1 0.221 0.092 0.749
O1 0.500 0.000 0.500


8.
# ZrMn2S4 (PBE, relaxed)
# Volume ... 21.25 Å³/atom
# Uncorrected formation energy ... -0.928 eV/atom
data_ZrMn2S4
_chemical_formula_sum 'Zr4 Mn8 S16'
_cell_length_a 7.508
_cell_length_b 7.508
_cell_length_c 10.559
_cell_angle_alpha 90.00
_cell_angle_beta 90.00
_cell_angle_gamma 90.00
_space_group_name_H-M_alt 'P 41 2 2'
_space_group_IT_number 91
loop_
_space_group_symop_operation_xyz
'x,y,z'
'-y,x,z+1/4'
'-x,-y,z+1/2'
'y,-x,z+3/4'
'x,-y,-z+1/2'
'-y,-x,-z+1/4'
'-x,y,-z'
'y,x,-z+3/4'
loop_
_atom_site_label
_atom_site_fract_x
_atom_site_fract_y
_atom_site_fract_z
Zr1 0.000 0.263 0.000
Mn1 0.251 0.500 0.750
Mn2 0.252 0.252 0.375
S1 0.012 0.246 0.755
S2 0.252 0.487 0.993


9.
# KBeFe2 (PBE, relaxed)
# ΔE_f ... 1.09 eV/atom
# Volume ... 22.06 Å³/atom
data_KBeFe2
_chemical_formula_sum 'K4 Be4 Fe8'
_cell_length_a 4.718
_cell_length_b 4.718
_cell_length_c 15.857
_cell_angle_alpha 90.00
_cell_angle_beta 90.00
_cell_angle_gamma 90.00
_space_group_name_H-M_alt 'I 41/a m d'
_space_group_IT_number 141
loop_
_space_group_symop_operation_xyz
'x,y,z'
'-x,-y,-z'
'-y+1/4,x+3/4,z+1/4'
'y+1/4,-x+3/4,-z+1/4'
'-x+1/2,-y,z+1/2'
'x+1/2,y,-z+1/2'
'y+1/4,-x+1/4,z+3/4'
'-y+1/4,x+1/4,-z+3/4'
'x,-y,-z'
'-x,y,z'
'-y+1/4,-x+1/4,-z+3/4'
'y+1/4,x+1/4,z+3/4'
'-x+1/2,y,-z+1/2'
'x+1/2,-y,z+1/2'
'y+1/4,x+3/4,-z+1/4'
'-y+1/4,-x+3/4,z+1/4'
'x+1/2,y+1/2,z+1/2'
'-x+1/2,-y+1/2,-z+1/2'
'-y+3/4,x+1/4,z+3/4'
'y+3/4,-x+1/4,-z+3/4'
'-x,-y+1/2,z'
'x,y+1/2,-z'
'y+3/4,-x+3/4,z+1/4'
'-y+3/4,x+3/4,-z+1/4'
'x+1/2,-y+1/2,-z+1/2'
'-x+1/2,y+1/2,z+1/2'
'-y+3/4,-x+3/4,-z+1/4'
'y+3/4,x+3/4,z+1/4'
'-x,y+1/2,-z'
'x,-y+1/2,z'
'y+3/4,x+1/4,-z+3/4'
'-y+3/4,-x+1/4,z+3/4'
loop_
_atom_site_label
_atom_site_fract_x
_atom_site_fract_y
_atom_site_fract_z
K1 0.000 0.250 0.375
Be1 0.000 0.250 0.875
Fe1 0.000 0.000 0.000


10.
# RbInGe (PBE, relaxed)
# ΔE_f ... 0.02 eV/atom
# Volume ... 38.11 Å³/atom
data_RbInGe
_chemical_formula_sum 'Rb2 In2 Ge2'
_cell_length_a 4.586
_cell_length_b 5.962
_cell_length_c 8.872
_cell_angle_alpha 77.50
_cell_angle_beta 75.29
_cell_angle_gamma 89.99
_space_group_name_H-M_alt 'P 1'
_space_group_IT_number 1
loop_
_space_group_symop_operation_xyz
'x,y,z'
loop_
_atom_site_label
_atom_site_fract_x
_atom_site_fract_y
_atom_site_fract_z
Rb1 0.000 0.000 0.000
Rb2 0.316 0.380 0.358
In1 0.135 0.610 0.728
In2 0.719 0.884 0.556
Ge1 0.535 0.516 0.931
Ge2 0.656 0.330 0.684


11.
# Pm2U3O9 (PBE, relaxed)
# Volume ... 14.63 Å³/atom
# Uncorrected formation energy ... -3.261 eV/atom
data_Pm2U3O9
_chemical_formula_sum 'Pm4 U6 O18'
_cell_length_a 3.854
_cell_length_b 3.854
_cell_length_c 27.574
_cell_angle_alpha 90.00
_cell_angle_beta 90.00
_cell_angle_gamma 90.00
_space_group_name_H-M_alt 'I -4 m 2'
_space_group_IT_number 119
_space_group_name_Hall 'I -4 -2'
loop_
_atom_site_label
_atom_site_fract_x
_atom_site_fract_y
_atom_site_fract_z
Pm1 0.000 0.000 0.194
U1 0.000 0.000 0.000
U2 0.000 0.000 0.402
O1 0.000 0.500 0.047
O2 0.000 0.500 0.143
O3 0.000 0.500 0.250
O4 0.000 0.500 0.551
O5 0.000 0.500 0.651


12.
# SrCd3S (PBE, relaxed)
# Volume ... 30.92 Å³/atom
# Uncorrected formation energy ... 0.038 eV/atom
data_SrCd3S
_chemical_formula_sum 'Sr1 Cd3 S1'
_cell_length_a 5.367
_cell_length_b 5.367
_cell_length_c 5.367
_cell_angle_alpha 90.00
_cell_angle_beta 90.00
_cell_angle_gamma 90.00
_space_group_name_H-M_alt 'P m -3 m'
_space_group_IT_number 221
_space_group_name_Hall '-P 4 2 3'
loop_
_atom_site_label
_atom_site_fract_x
_atom_site_fract_y
_atom_site_fract_z
Sr1 0.000 0.000 0.000
Cd1 0.000 0.500 0.500
S1 0.500 0.500 0.500


Look up the volume of the fifth one. 12.18 Å³/atom